First-principles (PBE) data for a geometry-optimized Lu2SnRh structure, as listed in Alexandria.

The calculation puts the calculated formation energy at -807 meV per atom.

It has space group P4/mmm (No. 123), with a = 3.392 Å, b = 3.392 Å, c = 7.738 Å, α = 90.00°, β = 90.00° and γ = 90.00°. The inequivalent atoms are Lu at (0.000, 0.000, 0.212), Sn at (0.500, 0.500, 0.500) and Rh at (0.500, 0.500, 0.000).

=====

First-principles (PBE) data for a geometry-optimized Ce5Si2Tc structure, as listed in Alexandria.

The raw formation energy is -0.27 eV/atom.

It has space group Cmcm (No. 63), with a = 5.202 Å, b = 9.104 Å, c = 15.675 Å, α = 90.00°, β = 90.00° and γ = 90.00°. The inequivalent atoms are Ce at (0.000, 0.064, 0.089), Ce at (0.000, 0.270, 0.750), Ce at (0.000, 0.403, 0.117), Si at (0.000, 0.272, 0.562) and Tc at (0.000, 0.044, 0.250).

=====

First-principles (PBE) data for a geometry-optimized CdGa2Pd6 structure, as listed in Alexandria.

The calculation puts the calculated formation energy at -432 meV per atom.

It has space group C2/m (No. 12), with a = 8.868 Å, b = 4.380 Å, c = 8.140 Å, α = 90.00°, β = 116.00° and γ = 90.00°. The inequivalent atoms are Cd at (0.000, 0.000, 0.000), Ga at (0.177, 0.500, 0.262), Pd at (0.013, 0.000, 0.672), Pd at (0.146, 0.500, 0.916) and Pd at (0.172, 0.500, 0.574).

=====

First-principles (PBE) data for a geometry-optimized Sm3B2PtRh9 structure, as listed in Alexandria.

The calculation puts the calculated formation energy at -488 meV per atom.

It has space group P-3m1 (No. 164), with a = 5.7806 Å, b = 5.7806 Å, c = 8.8793 Å, α = 90.00°, β = 90.00° and γ = 120.00°. The inequivalent atoms are Sm at (0.0000, 0.0000, 0.0000), Sm at (0.3333, 0.6667, 0.6268), B at (0.3333, 0.6667, 0.1452), Pt at (0.0000, 0.0000, 0.5000), Rh at (0.0000, 0.5000, 0.0000) and Rh at (0.1622, 0.3243, 0.2708).

=====

First-principles (PBE) data for a geometry-optimized PuPaSi2O8 structure, as listed in Alexandria.

The raw formation energy is -3.08 eV/atom.

It has space group I-4m2 (No. 119), with a = 7.054 Å, b = 7.054 Å, c = 6.264 Å, α = 90.00°, β = 90.00° and γ = 90.00°. The inequivalent atoms are Pu at (0.000, 0.000, 0.000), Pa at (0.000, 0.500, 0.250), Si at (0.000, 0.000, 0.500), Si at (0.000, 0.500, 0.750), O at (0.000, 0.183, 0.336) and O at (0.000, 0.326, 0.925).

=====

First-principles (PBE) data for a geometry-optimized TmPuC2 structure, as listed in Alexandria.

The calculation puts the calculated formation energy at -81 meV per atom.

It has space group R-3m (No. 166, hexagonal axes), with a = 3.5374 Å, b = 3.5374 Å, c = 16.9555 Å, α = 90.00°, β = 90.00° and γ = 120.00°. The inequivalent atoms are Tm at (0.0000, 0.0000, 0.0000), Pu at (0.0000, 0.0000, 0.5000) and C at (0.0000, 0.0000, 0.2411).